1.
A relaxed DyHoNi2Ge4 crystal. Source: OQMD, functional PBE-GGA.

```
DyHoNi2Ge4
1.0
-1.200 -3.692 -1.541
-7.749 1.033 3.558
-8.148 2.713 -0.156
Dy Ge Ho Ni
1 4 1 2
Direct
0.000 0.608 0.608
0.500 0.041 0.041
0.000 0.249 0.249
0.500 0.751 0.751
0.000 0.959 0.959
0.500 0.392 0.392
0.500 0.178 0.178
0.000 0.822 0.822
```

Values from the calculation:
E in eV per atom: -5.55
Symmetry: Amm2 (38)

2.
A relaxed SrHgSeO crystal. Source: OQMD, functional PBE-GGA.

```
SrHgSeO
1.0
7.494 0.000 0.000
0.000 3.914 0.000
0.000 0.000 12.772
Hg O Se Sr
4 4 4 4
Direct
0.219 0.750 0.041
0.719 0.750 0.459
0.281 0.250 0.541
0.781 0.250 0.959
0.272 0.250 0.132
0.772 0.250 0.368
0.228 0.750 0.632
0.728 0.750 0.868
0.814 0.750 0.123
0.314 0.750 0.377
0.686 0.250 0.623
0.186 0.250 0.877
0.544 0.250 0.232
0.044 0.250 0.268
0.956 0.750 0.732
0.456 0.750 0.768
```

Values from the calculation:
Symmetry: Pnma (62)
Relative energy among the computed polymorphs in eV/atom: 0.228

3.
A relaxed NaAlMoOs crystal. Source: OQMD, functional PBE-GGA.

```
NaAlMoOs
1.0
0.000 3.121 3.121
3.121 0.000 3.121
3.121 3.121 0.000
Al Mo Na Os
1 1 1 1
Direct
0.500 0.500 0.500
0.000 0.000 0.000
0.750 0.750 0.750
0.250 0.250 0.250
```

Values from the calculation:
Symmetry: F-43m (216)
Relative energy among the computed polymorphs in eV/atom: 0.000